# ZrMo

A relaxed ZrMo crystal (GGA-PBE, the Alexandria database).

a = 8.003 Å, b = 8.003 Å, c = 8.003 Å
α = 90.00°, β = 90.00°, γ = 90.00°
Space group I-43m (No. 217)
Inequivalent atoms, fractional coordinates:
Zr 0.213 0.213 0.213 x8
Mo 0.117 0.117 0.883 x8

Energy of formation from the pure elements, meV/atom: 1801
E_tot, eV for the cell shown: -126.22
Polymorph energy (0 for the lowest one), eV/atom: 1.843